No. 1
A plane-wave DFT calculation with PBE was carried out for crystalline LiH4Pd2Rh at its relaxed geometry.

Energy (eV per atom): -4.30
N(E_F) (states/eV/atom): 0.343

The structure in POSCAR format:
```
LiH4Pd2Rh
1.0
4.144 0.169 -0.006
-0.176 4.144 -0.006
-1.991 -2.163 4.333
Li H Pd Rh
1 4 2 1
Cartesian
-1.989 -2.162 4.329
0.870 0.945 3.197
1.020 3.038 1.120
2.943 1.268 1.120
-0.887 -0.963 3.204
2.072 0.085 2.162
-0.087 2.072 2.162
1.985 2.158 -0.005
```

***

No. 2
A plane-wave DFT calculation with PBE was carried out for crystalline LiHPd2Rh at its relaxed geometry.

Polymorph energy (0 for the lowest one) (meV/atom): 1315
N(E_F) (states/eV/atom): 1.074

The structure in POSCAR format:
```
LiHPd2Rh
1.0
-2.262 -0.003 3.486
-1.009 -4.071 -0.658
3.344 -1.179 2.168
H Rh Pd Li
1 1 2 1
Cartesian
0.037 -2.626 2.498
-0.504 -2.035 -0.329
1.672 -0.589 1.084
-1.131 -0.001 1.743
0.000 0.000 0.000
```

***

No. 3
A plane-wave DFT calculation with PBE was carried out for crystalline LiHPd2Rh at its relaxed geometry.

Polymorph energy (0 for the lowest one) (meV/atom): 0
N(E_F) (states/eV/atom): 0.524

The structure in POSCAR format:
```
LiHPd2Rh
1.0
-1.407 -1.256 -3.542
1.965 -3.470 0.450
-3.007 -1.480 1.719
H Rh Pd Li
1 1 2 1
Cartesian
0.000 0.000 0.000
-1.504 -0.740 0.860
0.982 -1.735 0.225
-0.704 -0.628 -1.771
-1.225 -3.103 -0.686
```

***

No. 4
A plane-wave DFT calculation with PBE was carried out for crystalline Li2H4Pd2Rh at its relaxed geometry.

Energy (eV per atom): -4.16
N(E_F) (states/eV/atom): 0.221

The structure in POSCAR format:
```
Li2H4Pd2Rh
1.0
-0.644 0.299 2.737
4.470 -6.115 0.260
2.573 3.351 0.239
Li H Pd Rh
2 4 2 1
Cartesian
3.868 -3.161 2.717
2.531 0.696 0.519
5.030 -1.397 2.797
1.369 -1.068 0.439
4.794 -5.117 1.688
1.605 2.652 1.548
4.524 -0.884 1.161
1.875 -1.581 2.075
0.000 0.000 0.000
```

***

No. 5
A plane-wave DFT calculation with PBE was carried out for crystalline LiH5Pd2Ru at its relaxed geometry.

Energy (eV per atom): -4.29
N(E_F) (states/eV/atom): 0.363

The structure in POSCAR format:
```
LiH5Pd2Ru
1.0
3.454 0.000 0.000
0.000 4.549 0.000
-1.727 -2.274 4.947
Li H Pd Ru
1 5 2 1
Cartesian
0.000 2.274 0.000
1.727 3.414 1.364
0.000 -1.140 3.583
0.000 1.140 3.583
1.727 1.134 1.364
0.000 0.000 0.000
0.000 0.000 2.229
1.727 2.274 2.717
1.727 0.000 0.000
```

***

No. 6
A plane-wave DFT calculation with PBE was carried out for crystalline LiHPd2S at its relaxed geometry.

Polymorph energy (0 for the lowest one) (meV/atom): 0
N(E_F) (states/eV/atom): 0.506

The structure in POSCAR format:
```
LiHPd2S
1.0
-0.768 2.677 -2.781
-0.596 -2.884 -2.611
-3.768 -0.087 0.956
H S Pd Li
1 1 2 1
Cartesian
0.000 0.000 0.000
-2.565 -0.147 -2.218
-0.298 -1.442 -1.306
-0.384 1.338 -1.390
-1.884 -0.044 0.478
```